## NaGaSe2 (PBE)

Data for crystalline NaGaSe2 at its relaxed geometry.

Calculated values
Total magnetization = 0.000 μB/f.u.
E_tot = -3.62 eV per atom
Formation energy (no corrections) = -0.788 eV per atom
Mass density = 4.2 Mg/m³

Cell and atoms, written as POSCAR:
```
NaGaSe2
1.0
3.829 0.000 0.000
0.001 3.831 0.000
1.899 1.884 6.682
Na Ga Se
1 1 2
Direct
0.000 0.000 0.000
0.250 0.748 0.500
0.365 0.361 0.271
0.636 0.634 0.730
```